1.
VASP calculation (PBE-GGA) on an optimized crystal structure of Ga3GeCl.

Calculated values
Energy above the lowest structure with this stoichiometry, meV per atom: 0
Space-group type: Pm-3m
Formation energy (no corrections), eV/atom: 0.146

Cell lengths 5.122, 5.122, 5.122 Å; angles 90.00, 90.00, 90.00 degrees
Fractional positions:
Cl  0.500  0.500  0.500
Ga  0.500  0.000  0.000
Ga  0.000  0.500  0.000
Ga  0.000  0.000  0.500
Ge  0.000  0.000  0.000

2.
VASP calculation (PBE-GGA) on an optimized crystal structure of Al2ZnOs.

Calculated values
Formation enthalpy at 0 K, eV/atom: 0.324
Space-group type: I-42d

Cell lengths 3.829, 3.829, 9.228 Å; angles 78.03, 78.03, 90.00 degrees
Site moments in Bohr magnetons follow the coordinates.
Fractional positions:
Zn  0.500  0.500  0.000  0.00
Zn  0.250  0.750  0.500  0.00
Al  0.637  0.125  0.250  0.00
Al  0.113  0.625  0.250  0.00
Al  0.375  0.363  0.750  0.01
Al  0.875  0.887  0.750  0.01
Os  0.000  0.000  0.000  0.51
Os  0.750  0.250  0.500  0.51

| no. | magnetization (μB/cell) | V (Å³/cell) | final energy (eV/atom) |
| --- | --- | --- | --- |
| 1 | 0.0 | 134.4 | -2.963 |
| 2 | 1.2 | 129.3 | -4.674 |